# 1
Material: CoPRuCl2
Method: DFT, PBE
State: optimized geometry

Structure (CIF):
```
data_CoPRuCl2
_space_group_name_H-M_alt 'P 1'
_space_group_IT_number 1
_space_group_name_Hall 'P 1'
_cell_length_a 4.8953
_cell_length_b 4.8953
_cell_length_c 4.4535
_cell_angle_alpha 90.00
_cell_angle_beta 90.00
_cell_angle_gamma 90.00
loop_
_atom_site_label
_atom_site_type_symbol
_atom_site_fract_x
_atom_site_fract_y
_atom_site_fract_z
Co1 Co 0.0000 0.0000 0.0000
P1 P 0.5000 0.5000 0.0000
Ru1 Ru 0.5000 0.5000 0.5000
Cl1 Cl 0.0000 0.5000 0.5000
Cl2 Cl 0.5000 0.0000 0.5000
```

## Properties
The energy above the most stable polymorph in this dataset is 0.000 eV/atom. The value obtained for the total magnetic moment is 2.35 μB/cell. The total energy comes out at -21.61 eV per formula unit.

# 2
Material: RbPdBr5
Method: DFT, PBE
State: optimized geometry

Structure (CIF):
```
data_RbPdBr5
_space_group_name_H-M_alt 'P 1'
_space_group_IT_number 1
_space_group_name_Hall 'P 1'
_cell_length_a 7.7615
_cell_length_b 7.7615
_cell_length_c 10.1235
_cell_angle_alpha 109.21
_cell_angle_beta 109.21
_cell_angle_gamma 61.61
loop_
_atom_site_label
_atom_site_type_symbol
_atom_site_fract_x
_atom_site_fract_y
_atom_site_fract_z
Rb1 Rb 0.0168 0.9832 0.7500
Rb2 Rb 0.9832 0.0168 0.2500
Pd1 Pd 0.5000 0.5000 0.0000
Pd2 Pd 0.5000 0.5000 0.5000
Br1 Br 0.1327 0.5937 0.9113
Br2 Br 0.1387 0.5651 0.4465
Br3 Br 0.4063 0.8673 0.5887
Br4 Br 0.4224 0.5776 0.2500
Br5 Br 0.4349 0.8613 0.0535
Br6 Br 0.5651 0.1387 0.9465
Br7 Br 0.5776 0.4224 0.7500
Br8 Br 0.5937 0.1327 0.4113
Br9 Br 0.8613 0.4349 0.5535
Br10 Br 0.8673 0.4063 0.0887
```

## Properties
The energy above the most stable polymorph in this dataset is 0.000 eV/atom. The value obtained for the total magnetic moment is 0.00 μB/cell. The total energy comes out at -18.78 eV per formula unit.

# 3
Material: PmPd14Pb
Method: DFT, PBE
State: optimized geometry

Structure (CIF):
```
data_PmPd14Pb
_space_group_name_H-M_alt 'P 1'
_space_group_IT_number 1
_space_group_name_Hall 'P 1'
_cell_length_a 5.7783
_cell_length_b 5.7783
_cell_length_c 7.9547
_cell_angle_alpha 90.00
_cell_angle_beta 90.00
_cell_angle_gamma 90.00
loop_
_atom_site_label
_atom_site_type_symbol
_atom_site_fract_x
_atom_site_fract_y
_atom_site_fract_z
Pm1 Pm 0.0000 0.0000 0.0000
Pd1 Pd 0.0000 0.0000 0.5000
Pd2 Pd 0.0000 0.5000 0.0000
Pd3 Pd 0.0000 0.5000 0.5000
Pd4 Pd 0.2514 0.2514 0.2599
Pd5 Pd 0.2514 0.2514 0.7401
Pd6 Pd 0.2514 0.7486 0.2599
Pd7 Pd 0.2514 0.7486 0.7401
Pd8 Pd 0.5000 0.0000 0.0000
Pd9 Pd 0.5000 0.0000 0.5000
Pd10 Pd 0.5000 0.5000 0.5000
Pd11 Pd 0.7486 0.2514 0.2599
Pd12 Pd 0.7486 0.2514 0.7401
Pd13 Pd 0.7486 0.7486 0.2599
Pd14 Pd 0.7486 0.7486 0.7401
Pb1 Pb 0.5000 0.5000 0.0000
```

## Properties
The calculation puts the formation energy at -23 kJ per mole of atoms. The value obtained for the total magnetic moment is 0.00 μB/cell. The total energy comes out at -84.90 eV per formula unit.

# 4
Material: ZnHCl2
Method: DFT, PBE
State: optimized geometry

Structure (CIF):
```
data_ZnHCl2
_space_group_name_H-M_alt 'P 1'
_space_group_IT_number 1
_space_group_name_Hall 'P 1'
_cell_length_a 6.5476
_cell_length_b 6.5476
_cell_length_c 6.5476
_cell_angle_alpha 38.14
_cell_angle_beta 38.14
_cell_angle_gamma 38.14
loop_
_atom_site_label
_atom_site_type_symbol
_atom_site_fract_x
_atom_site_fract_y
_atom_site_fract_z
Zn1 Zn 0.0000 0.0000 0.0000
H1 H 0.5000 0.5000 0.5000
Cl1 Cl 0.4138 0.4138 0.4138
Cl2 Cl 0.5862 0.5862 0.5862
```

## Properties
The energy above the most stable polymorph in this dataset is 0.011 eV/atom. The value obtained for the total magnetic moment is 0.00 μB/cell. The total energy comes out at -9.40 eV per formula unit.

# 5
Material: HoAlH2O4
Method: DFT, PBE
State: optimized geometry

Structure (CIF):
```
data_HoAlH2O4
_space_group_name_H-M_alt 'P 1'
_space_group_IT_number 1
_space_group_name_Hall 'P 1'
_cell_length_a 4.6069
_cell_length_b 4.6069
_cell_length_c 4.6069
_cell_angle_alpha 121.99
_cell_angle_beta 107.52
_cell_angle_gamma 99.74
loop_
_atom_site_label
_atom_site_type_symbol
_atom_site_fract_x
_atom_site_fract_y
_atom_site_fract_z
Ho1 Ho 0.0000 0.0000 0.0000
Al1 Al 0.5000 0.5000 0.0000
H1 H 0.3189 0.8189 0.5000
H2 H 0.6811 0.1811 0.5000
O1 O 0.1804 0.0396 0.5914
O2 O 0.4482 0.5890 0.4086
O3 O 0.5518 0.9604 0.1408
O4 O 0.8196 0.4110 0.8592
```

## Properties
The value obtained for the total magnetic moment is 0.00 μB/cell. The total energy comes out at -53.09 eV per formula unit.

# 6
Material: NbCuF
Method: DFT, PBE
State: optimized geometry

Structure (CIF):
```
data_NbCuF
_space_group_name_H-M_alt 'P 1'
_space_group_IT_number 1
_space_group_name_Hall 'P 1'
_cell_length_a 13.8852
_cell_length_b 2.8766
_cell_length_c 2.8766
_cell_angle_alpha 56.78
_cell_angle_beta 90.00
_cell_angle_gamma 90.00
loop_
_atom_site_label
_atom_site_type_symbol
_atom_site_fract_x
_atom_site_fract_y
_atom_site_fract_z
Nb1 Nb 0.1632 0.0000 0.0000
Nb2 Nb 0.8368 0.0000 0.0000
Cu1 Cu 0.0000 0.3186 0.3186
Cu2 Cu 0.5000 0.1046 0.1046
F1 F 0.2718 0.3226 0.3226
F2 F 0.7282 0.3226 0.3226
```

## Properties
The value obtained for the total magnetic moment is 0.00 μB/cell. The total energy comes out at -18.53 eV per formula unit.

# 7
Material: ScHPd3
Method: DFT, PBE
State: optimized geometry

Structure (CIF):
```
data_ScHPd3
_space_group_name_H-M_alt 'P 1'
_space_group_IT_number 1
_space_group_name_Hall 'P 1'
_cell_length_a 4.0528
_cell_length_b 4.0528
_cell_length_c 4.0528
_cell_angle_alpha 90.00
_cell_angle_beta 90.00
_cell_angle_gamma 90.00
loop_
_atom_site_label
_atom_site_type_symbol
_atom_site_fract_x
_atom_site_fract_y
_atom_site_fract_z
Sc1 Sc 0.0000 0.0000 0.0000
H1 H 0.5000 0.5000 0.5000
Pd1 Pd 0.0000 0.5000 0.5000
Pd2 Pd 0.5000 0.0000 0.5000
Pd3 Pd 0.5000 0.5000 0.0000
```

## Properties
The energy above the most stable polymorph in this dataset is 0.003 eV/atom. The value obtained for the total magnetic moment is 0.00 μB/cell. The total energy comes out at -28.75 eV per formula unit.

# 8
Material: Sm5Dy4Y4
Method: DFT, PBE
State: optimized geometry

Structure (CIF):
```
data_Sm5Dy4Y4
_space_group_name_H-M_alt 'P 1'
_space_group_IT_number 1
_space_group_name_Hall 'P 1'
_cell_length_a 9.4861
_cell_length_b 9.4861
_cell_length_c 9.4861
_cell_angle_alpha 94.08
_cell_angle_beta 94.08
_cell_angle_gamma 149.05
loop_
_atom_site_label
_atom_site_type_symbol
_atom_site_fract_x
_atom_site_fract_y
_atom_site_fract_z
Sm1 Sm 0.0000 0.0000 0.0000
Sm2 Sm 0.3073 0.5394 0.8467
Sm3 Sm 0.4606 0.3073 0.7679
Sm4 Sm 0.5394 0.6927 0.2321
Sm5 Sm 0.6927 0.4606 0.1533
Dy1 Dy 0.1542 0.7684 0.9227
Dy2 Dy 0.2316 0.1542 0.3858
Dy3 Dy 0.7684 0.8458 0.6142
Dy4 Dy 0.8458 0.2316 0.0773
Y1 Y 0.0771 0.3846 0.4617
Y2 Y 0.3846 0.9229 0.3075
Y3 Y 0.6154 0.0771 0.6925
Y4 Y 0.9229 0.6154 0.5383
```

## Properties
The calculation puts the formation energy at 2 kJ per mole of atoms. The value obtained for the total magnetic moment is 0.00 μB/cell. The total energy comes out at -67.65 eV per formula unit.

# 9
Material: USi6Ni12
Method: DFT, PBE
State: optimized geometry

Structure (CIF):
```
data_USi6Ni12
_space_group_name_H-M_alt 'P 1'
_space_group_IT_number 1
_space_group_name_Hall 'P 1'
_cell_length_a 6.5265
_cell_length_b 6.5265
_cell_length_c 6.5265
_cell_angle_alpha 105.43
_cell_angle_beta 105.43
_cell_angle_gamma 105.43
loop_
_atom_site_label
_atom_site_type_symbol
_atom_site_fract_x
_atom_site_fract_y
_atom_site_fract_z
U1 U 0.0000 0.0000 0.0000
Si1 Si 0.2552 0.2552 0.7018
Si2 Si 0.2552 0.7018 0.2552
Si3 Si 0.2982 0.7448 0.7448
Si4 Si 0.7018 0.2552 0.2552
Si5 Si 0.7448 0.2982 0.7448
Si6 Si 0.7448 0.7448 0.2982
Ni1 Ni 0.1211 0.5000 0.8789
Ni2 Ni 0.1211 0.8789 0.5000
Ni3 Ni 0.1605 0.4204 0.4204
Ni4 Ni 0.4204 0.1605 0.4204
Ni5 Ni 0.4204 0.4204 0.1605
Ni6 Ni 0.5000 0.1211 0.8789
Ni7 Ni 0.5000 0.8789 0.1211
Ni8 Ni 0.5796 0.5796 0.8395
Ni9 Ni 0.5796 0.8395 0.5796
Ni10 Ni 0.8395 0.5796 0.5796
Ni11 Ni 0.8789 0.1211 0.5000
Ni12 Ni 0.8789 0.5000 0.1211
```

## Properties
The value obtained for the total magnetic moment is 2.50 μB/cell. The total energy comes out at -121.03 eV per formula unit.

# 10
Material: Sm3Si2Rh3
Method: DFT, PBE
State: optimized geometry

Structure (CIF):
```
data_Sm3Si2Rh3
_space_group_name_H-M_alt 'P 1'
_space_group_IT_number 1
_space_group_name_Hall 'P 1'
_cell_length_a 5.6082
_cell_length_b 5.6082
_cell_length_c 15.0036
_cell_angle_alpha 90.00
_cell_angle_beta 90.00
_cell_angle_gamma 136.43
loop_
_atom_site_label
_atom_site_type_symbol
_atom_site_fract_x
_atom_site_fract_y
_atom_site_fract_z
Sm1 Sm 0.0737 0.9263 0.6081
Sm2 Sm 0.0737 0.9263 0.8919
Sm3 Sm 0.3621 0.6379 0.7500
Sm4 Sm 0.6379 0.3621 0.2500
Sm5 Sm 0.9263 0.0737 0.1081
Sm6 Sm 0.9263 0.0737 0.3919
Si1 Si 0.2145 0.7855 0.1026
Si2 Si 0.2145 0.7855 0.3974
Si3 Si 0.7855 0.2145 0.6026
Si4 Si 0.7855 0.2145 0.8974
Rh1 Rh 0.3318 0.6682 0.2500
Rh2 Rh 0.3459 0.6541 0.5334
Rh3 Rh 0.3459 0.6541 0.9666
Rh4 Rh 0.6541 0.3459 0.0334
Rh5 Rh 0.6541 0.3459 0.4666
Rh6 Rh 0.6682 0.3318 0.7500
```

## Properties
The energy above the most stable polymorph in this dataset is 0.055 eV/atom. The value obtained for the total magnetic moment is 0.00 μB/cell. The total energy comes out at -54.35 eV per formula unit.

# 11
Material: LiTmCdPd
Method: DFT, PBE
State: optimized geometry

Structure (CIF):
```
data_LiTmCdPd
_space_group_name_H-M_alt 'P 1'
_space_group_IT_number 1
_space_group_name_Hall 'P 1'
_cell_length_a 4.7782
_cell_length_b 4.7782
_cell_length_c 4.7782
_cell_angle_alpha 60.00
_cell_angle_beta 60.00
_cell_angle_gamma 60.00
loop_
_atom_site_label
_atom_site_type_symbol
_atom_site_fract_x
_atom_site_fract_y
_atom_site_fract_z
Li1 Li 0.0000 0.0000 0.0000
Tm1 Tm 0.2500 0.2500 0.2500
Cd1 Cd 0.7500 0.7500 0.7500
Pd1 Pd 0.5000 0.5000 0.5000
```

## Properties
The calculation puts the formation energy at -47 kJ per mole of atoms. The value obtained for the total magnetic moment is 0.00 μB/cell. The total energy comes out at -14.42 eV per formula unit.

# 12
Material: GeHSN2
Method: DFT, PBE
State: optimized geometry

Structure (CIF):
```
data_GeHSN2
_space_group_name_H-M_alt 'P 1'
_space_group_IT_number 1
_space_group_name_Hall 'P 1'
_cell_length_a 4.0511
_cell_length_b 4.0511
_cell_length_c 3.0468
_cell_angle_alpha 90.00
_cell_angle_beta 90.00
_cell_angle_gamma 90.00
loop_
_atom_site_label
_atom_site_type_symbol
_atom_site_fract_x
_atom_site_fract_y
_atom_site_fract_z
Ge1 Ge 0.0000 0.0000 0.0000
H1 H 0.5000 0.5000 0.5000
S1 S 0.5000 0.5000 0.0000
N1 N 0.0000 0.5000 0.5000
N2 N 0.5000 0.0000 0.5000
```

## Properties
The energy above the most stable polymorph in this dataset is 0.141 eV/atom. The value obtained for the total magnetic moment is 0.90 μB/cell. The total energy comes out at -19.45 eV per formula unit.

> What is the formula in the third record?

PmPd14Pb

> What is the total magnetic moment in the eighth record?

0.00 μB/cell

Please write out number 11 again, unchanged.
Material: LiTmCdPd
Method: DFT, PBE
State: optimized geometry

Structure (CIF):
```
data_LiTmCdPd
_space_group_name_H-M_alt 'P 1'
_space_group_IT_number 1
_space_group_name_Hall 'P 1'
_cell_length_a 4.7782
_cell_length_b 4.7782
_cell_length_c 4.7782
_cell_angle_alpha 60.00
_cell_angle_beta 60.00
_cell_angle_gamma 60.00
loop_
_atom_site_label
_atom_site_type_symbol
_atom_site_fract_x
_atom_site_fract_y
_atom_site_fract_z
Li1 Li 0.0000 0.0000 0.0000
Tm1 Tm 0.2500 0.2500 0.2500
Cd1 Cd 0.7500 0.7500 0.7500
Pd1 Pd 0.5000 0.5000 0.5000
```

## Properties
The calculation puts the formation energy at -47 kJ per mole of atoms. The value obtained for the total magnetic moment is 0.00 μB/cell. The total energy comes out at -14.42 eV per formula unit.